# 1
SrLaGa PBE relaxed; energy relative to the elements = -275 meV/atom; distance to the lowest polymorph of the same formula = 0.28 eV per formula unit; crystal system = triclinic
1.0
-3.318 0.195 1.550
-3.118 -2.040 -6.414
-0.401 -6.498 4.295
La Sr Ga
2 2 2
direct
0.351 0.291 0.951 La
0.649 0.127 0.354 La
0.624 0.646 0.403 Sr
0.376 0.772 0.902 Sr
0.001 0.404 0.651 Ga
0.000 0.013 0.654 Ga

***

# 2
CaHgIBr PBE relaxed; formation energy from raw total energies = -24.07 kcal/mol of atoms; crystal system = cubic
1.0
5.609 0.000 0.000
2.805 4.858 0.000
2.805 1.619 4.580
Br I Ca Hg
1 1 1 1
direct
0.750 0.750 0.750 Br
0.250 0.250 0.250 I
0.000 0.000 0.000 Ca
0.500 0.500 0.500 Hg

***

# 3
Cd3PSe PBE relaxed; formation energy from raw total energies = 2.37 kcal/mol of atoms; distance to the lowest polymorph of the same formula = 0.00 eV per formula unit; crystal system = cubic
1.0
5.065 0.000 0.000
0.000 5.065 0.000
0.000 0.000 5.065
Cd P Se
3 1 1
direct
0.000 0.500 0.000 Cd
0.500 0.000 0.000 Cd
0.000 0.000 0.500 Cd
0.000 0.000 0.000 P
0.500 0.500 0.500 Se

***

# 4
La2Sm4Tm3 PBE relaxed; energy relative to the elements = 144 meV/atom; distance to the lowest polymorph of the same formula = 0.50 eV per formula unit; crystal system = trigonal
1.0
-1.141 -1.624 3.032
2.588 -1.540 -2.016
22.651 15.810 16.996
Tm Sm La
3 4 2
direct
0.000 0.000 0.925 Tm
0.000 0.000 0.384 Tm
0.667 0.333 0.651 Tm
0.000 0.000 0.564 Sm
0.667 0.333 0.299 Sm
0.000 0.000 0.738 Sm
0.667 0.333 0.472 Sm
0.667 0.333 0.834 La
0.667 0.333 0.011 La

***

Number 1: total moment 0.00 μB/cell. Number 2: total moment 0.00 μB/cell. Number 3: total moment 0.00 μB/cell. Number 4: total moment 0.00 μB/cell.